(1)
La2Cd2Ge, relaxed, DFT PBE; symmetry = P4/mbm (127); formation energy from the elements = -1.62 eV/f.u.; E_tot = -35.85 eV per cell; relative energy among the computed polymorphs = 0.0 meV/atom
1.0
-0.344 7.222 -1.827
-3.971 -1.726 -6.072
-4.229 0.465 2.634
Ge Cd La
2 4 4
Cartesian
0.000 0.000 0.000
-2.158 2.748 -3.949
-3.565 1.149 -5.927
-2.816 5.160 -5.432
-0.750 4.347 -1.972
-1.500 0.336 -2.467
-4.838 0.309 -3.070
-5.637 3.648 -4.942
-3.706 5.651 -2.195
-2.907 2.313 -0.323

***

(2)
ZrSn2OsW, relaxed, DFT PBE; symmetry = P4/mmm (123); formation energy from the elements = 10.10 eV/f.u.; E_tot = -30.64 eV per cell
1.0
5.363 0.000 0.000
0.000 4.821 0.000
0.000 0.000 5.363
Zr Os Sn W
1 1 2 1
Cartesian
0.000 0.000 0.000
0.000 2.410 0.000
0.000 0.000 2.681
2.681 0.000 0.000
2.681 2.410 2.681

***

(3)
SrNb2RuO, relaxed, DFT PBE; symmetry = P4/mmm (123); raw formation energy = 3067 meV/atom; E_tot = -20.72 eV per cell
1.0
5.026 0.000 0.000
0.000 4.562 0.000
0.000 0.000 5.026
Ru Nb O Sr
1 2 1 1
Cartesian
0.000 2.281 0.000
0.000 0.000 2.513
2.513 0.000 0.000
2.513 2.281 2.513
0.000 0.000 0.000

***

(4)
SmTh2Si3Pt4, relaxed, DFT PBE; symmetry = P-4m2 (115); raw formation energy = -1017 meV/atom; E_tot = -70.17 eV per cell
1.0
-2.487 2.395 -2.491
-2.916 -3.101 -0.071
-4.847 4.351 9.021
Sm Th Si Pt
1 2 3 4
Cartesian
-5.125 1.822 3.229
-2.317 2.162 0.753
-5.231 1.836 6.986
-2.424 2.175 4.510
-5.519 5.036 6.713
-2.029 -1.038 1.027
-2.701 -0.353 -1.281
0.000 0.000 0.000
-4.479 4.102 4.776
-3.069 -0.104 2.963

***

(5)
Hf2MnIr2, relaxed, DFT PBE; symmetry = P4/mbm (127); formation energy from the elements = -1.86 eV/f.u.; E_tot = -97.32 eV per cell; relative energy among the computed polymorphs = 162.7 meV/atom
1.0
-6.220 4.240 2.061
-4.714 -5.545 -2.819
-0.026 -1.354 2.707
Ir Hf Mn
4 4 2
Cartesian
-3.965 -3.640 -0.166
-8.057 -2.675 0.277
-6.996 0.981 2.116
-2.903 0.016 1.672
-6.177 -3.229 -1.674
-8.350 -0.007 -0.083
-4.758 1.923 0.916
-2.584 -1.298 -0.674
0.000 0.000 0.000
-5.467 -0.653 -0.379

***

(6)
TiFe2PtN, relaxed, DFT PBE; symmetry = P4/mmm (123); raw formation energy = -588 meV/atom; E_tot = -42.13 eV per cell
1.0
3.848 0.000 0.000
0.000 3.848 0.000
0.000 0.000 4.071
N Fe Pt Ti
1 2 1 1
Cartesian
0.000 0.000 0.000
0.000 1.924 0.000
1.924 0.000 0.000
1.924 1.924 2.036
0.000 0.000 2.036